Entry 1:
A plane-wave DFT calculation with GGA-PBE was carried out for a relaxed RuPb7 crystal.

The density is 11.4 Mg/m³. The calculation puts the formation energy at 361 meV per atom. As for the space group: Fm-3m. The value obtained for the final energy is -32.344 eV/f.u.

a b c (Å): 6.844 6.844 6.844
angles (deg): 60.00 60.00 60.00
Sites, in units of the cell vectors:
Ru 0.000 0.000 0.000
Pb 0.000 0.000 0.500
Pb 0.000 0.500 0.000
Pb 0.000 0.500 0.500
Pb 0.500 0.000 0.000
Pb 0.500 0.000 0.500
Pb 0.500 0.500 0.000
Pb 0.500 0.500 0.500

Entry 2:
A plane-wave DFT calculation with GGA-PBE was carried out for a relaxed Ru3Pb crystal.

The density is 12.6 Mg/m³. The calculation puts the formation energy at 582 meV per atom. As for the space group: P-6m2. The value obtained for the final energy is -29.208 eV/f.u.

a b c (Å): 2.929 2.929 9.080
angles (deg): 90.00 90.00 120.00
Sites, in units of the cell vectors:
Ru 0.000 0.000 0.000
Ru 0.667 0.333 0.219
Ru 0.667 0.333 0.781
Pb 0.000 0.000 0.500

Entry 3:
A plane-wave DFT calculation with GGA-PBE was carried out for a relaxed RuPb5 crystal.

The polymorph energy (0 for the lowest one) is 1.16 eV per formula unit. The density is 11.8 Mg/m³. The calculation puts the formation energy at 384 meV per atom. As for the space group: P-62m. The value obtained for the final energy is -25.516 eV/f.u.

a b c (Å): 5.912 5.912 5.292
angles (deg): 90.00 90.00 120.00
Sites, in units of the cell vectors:
Ru 0.000 0.000 0.000
Pb 0.000 0.690 0.500
Pb 0.310 0.310 0.500
Pb 0.333 0.667 0.000
Pb 0.667 0.333 0.000
Pb 0.690 0.000 0.500

Entry 4:
A plane-wave DFT calculation with GGA-PBE was carried out for a relaxed RuPb3 crystal.

The polymorph energy (0 for the lowest one) is 0.30 eV per formula unit. The density is 11.8 Mg/m³. The calculation puts the formation energy at 316 meV per atom. As for the space group: Imm2. The value obtained for the final energy is -19.135 eV/f.u.

a b c (Å): 3.475 9.108 6.425
angles (deg): 90.00 90.00 90.00
Sites, in units of the cell vectors:
Ru 0.000 0.000 0.000
Ru 0.500 0.500 0.500
Pb 0.000 0.312 0.260
Pb 0.000 0.500 0.838
Pb 0.000 0.688 0.260
Pb 0.500 0.000 0.338
Pb 0.500 0.188 0.760
Pb 0.500 0.812 0.760

Entry 5:
A plane-wave DFT calculation with GGA-PBE was carried out for a relaxed RuPb crystal.

The density is 13.1 Mg/m³. The calculation puts the formation energy at 603 meV per atom. As for the space group: Pmmn. The value obtained for the final energy is -11.779 eV/f.u.

a b c (Å): 3.246 5.214 4.602
angles (deg): 90.00 90.00 90.00
Sites, in units of the cell vectors:
Ru 0.250 0.250 0.104
Ru 0.750 0.750 0.896
Pb 0.250 0.750 0.379
Pb 0.750 0.250 0.621

Entry 6:
A plane-wave DFT calculation with GGA-PBE was carried out for a relaxed RuPb crystal.

The density is 11.2 Mg/m³. The calculation puts the formation energy at 574 meV per atom. As for the space group: I4/m. The value obtained for the final energy is -11.835 eV/f.u.

a b c (Å): 9.451 9.451 4.109
angles (deg): 90.00 90.00 90.00
Sites, in units of the cell vectors:
Ru 0.028 0.372 0.000
Ru 0.128 0.528 0.500
Ru 0.372 0.972 0.000
Ru 0.472 0.128 0.500
Ru 0.528 0.872 0.500
Ru 0.628 0.028 0.000
Ru 0.872 0.472 0.500
Ru 0.972 0.628 0.000
Pb 0.140 0.192 0.500
Pb 0.192 0.860 0.500
Pb 0.308 0.640 0.000
Pb 0.360 0.308 0.000
Pb 0.640 0.692 0.000
Pb 0.692 0.360 0.000
Pb 0.808 0.140 0.500
Pb 0.860 0.808 0.500

Entry 7:
A plane-wave DFT calculation with GGA-PBE was carried out for a relaxed Ru4Pb3 crystal.

The polymorph energy (0 for the lowest one) is 0.00 eV per formula unit. The density is 12.1 Mg/m³. The calculation puts the formation energy at 413 meV per atom. As for the space group: I4/mmm. The value obtained for the final energy is -45.340 eV/f.u.

a b c (Å): 3.007 3.007 31.128
angles (deg): 90.00 90.00 90.00
Sites, in units of the cell vectors:
Ru 0.000 0.000 0.071
Ru 0.000 0.000 0.380
Ru 0.000 0.000 0.620
Ru 0.000 0.000 0.929
Ru 0.500 0.500 0.120
Ru 0.500 0.500 0.429
Ru 0.500 0.500 0.571
Ru 0.500 0.500 0.880
Pb 0.000 0.000 0.191
Pb 0.000 0.000 0.500
Pb 0.000 0.000 0.809
Pb 0.500 0.500 0.000
Pb 0.500 0.500 0.309
Pb 0.500 0.500 0.691

Entry 8:
A plane-wave DFT calculation with GGA-PBE was carried out for a relaxed Ru3Pb crystal.

The density is 13.0 Mg/m³. The calculation puts the formation energy at 506 meV per atom. As for the space group: P4/mmm. The value obtained for the final energy is -29.514 eV/f.u.

a b c (Å): 2.930 2.930 7.595
angles (deg): 90.00 90.00 90.00
Sites, in units of the cell vectors:
Ru 0.000 0.000 0.000
Ru 0.500 0.500 0.225
Ru 0.500 0.500 0.775
Pb 0.000 0.000 0.500